# 1
Density functional theory data (PBE) for an optimized crystal structure of CaPmHgIr. Values from VASP.

The electronic total energy is -4.417 eV/atom. The energy relative to the elements is -0.44 eV per atom. As for the space-group type: F-43m (216).

```
&SYSTEM
  ibrav = 0, nat = 4, ntyp = 4
/
ATOMIC_SPECIES
Ca 40.08 Ca.upf
Ir 192.22 Ir.upf
Hg 200.59 Hg.upf
Pm 145.00 Pm.upf
ATOMIC_POSITIONS angstrom
Ca 2.557 1.476 1.044
Ir 0.000 0.000 0.000
Hg 5.114 2.953 2.088
Pm 7.672 4.429 3.132
CELL_PARAMETERS angstrom
5.114 0.000 0.000
2.557 4.429 0.000
2.557 1.476 4.176
```



# 2
Density functional theory data (PBE) for an optimized crystal structure of CaPmHgIr. Values from VASP.

The electronic total energy is -4.478 eV/atom. The energy relative to the elements is -0.50 eV per atom. As for the space-group type: P4mm (99).

```
&SYSTEM
  ibrav = 0, nat = 4, ntyp = 4
/
ATOMIC_SPECIES
Ca 40.08 Ca.upf
Pm 145.00 Pm.upf
Hg 200.59 Hg.upf
Ir 192.22 Ir.upf
ATOMIC_POSITIONS angstrom
Ca -3.116 4.895 2.826
Pm -2.454 2.714 0.481
Hg -0.107 0.352 0.378
Ir -0.830 2.738 2.944
CELL_PARAMETERS angstrom
-0.293 2.609 -2.509
-3.544 -0.717 -0.332
-1.497 4.935 5.306
```



# 3
Density functional theory data (PBE) for an optimized crystal structure of CaPuHgIr. Values from VASP.

The electronic total energy is -6.608 eV/atom. The energy relative to the elements is -0.23 eV per atom. As for the space-group type: F-43m (216).

```
&SYSTEM
  ibrav = 0, nat = 4, ntyp = 4
/
ATOMIC_SPECIES
Ca 40.08 Ca.upf
Ir 192.22 Ir.upf
Hg 200.59 Hg.upf
Pu 244.00 Pu.upf
ATOMIC_POSITIONS angstrom
Ca 7.605 4.391 3.105
Ir 0.000 0.000 0.000
Hg 5.070 2.927 2.070
Pu 2.535 1.464 1.035
CELL_PARAMETERS angstrom
5.070 0.000 0.000
2.535 4.391 0.000
2.535 1.464 4.140
```



# 4
Density functional theory data (PBE) for an optimized crystal structure of Ca2ReHgIr. Values from VASP.

The electronic total energy is -3.722 eV/atom. The energy relative to the elements is 1.40 eV per atom. As for the space-group type: P4/mmm (123).

```
&SYSTEM
  ibrav = 0, nat = 5, ntyp = 4
/
ATOMIC_SPECIES
Re 186.21 Re.upf
Ca 40.08 Ca.upf
Ir 192.22 Ir.upf
Hg 200.59 Hg.upf
ATOMIC_POSITIONS angstrom
Re 0.000 0.000 0.000
Ca 0.000 0.000 2.710
Ca 2.710 0.000 0.000
Ir 2.710 2.549 2.710
Hg 0.000 2.549 0.000
CELL_PARAMETERS angstrom
5.421 0.000 0.000
0.000 5.098 0.000
0.000 0.000 5.421
```



# 5
Density functional theory data (PBE) for an optimized crystal structure of CaHg2IrRu. Values from VASP.

The electronic total energy is -2.398 eV/atom. The energy relative to the elements is 1.75 eV per atom. As for the space-group type: P4/mmm (123).

```
&SYSTEM
  ibrav = 0, nat = 5, ntyp = 4
/
ATOMIC_SPECIES
Ru 101.07 Ru.upf
Ca 40.08 Ca.upf
Ir 192.22 Ir.upf
Hg 200.59 Hg.upf
ATOMIC_POSITIONS angstrom
Ru 2.695 2.471 2.695
Ca 0.000 0.000 0.000
Ir 0.000 2.471 0.000
Hg 0.000 0.000 2.695
Hg 2.695 0.000 0.000
CELL_PARAMETERS angstrom
5.390 0.000 0.000
0.000 4.942 0.000
0.000 0.000 5.390
```



# 6
Density functional theory data (PBE) for an optimized crystal structure of Ca2ScHgIr. Values from VASP.

The electronic total energy is -3.220 eV/atom. The energy relative to the elements is 0.68 eV per atom. As for the space-group type: P4/mmm (123).

```
&SYSTEM
  ibrav = 0, nat = 5, ntyp = 4
/
ATOMIC_SPECIES
Sc 44.96 Sc.upf
Ca 40.08 Ca.upf
Ir 192.22 Ir.upf
Hg 200.59 Hg.upf
ATOMIC_POSITIONS angstrom
Sc 0.000 2.615 0.000
Ca 0.000 0.000 2.739
Ca 2.739 0.000 0.000
Ir 2.739 2.615 2.739
Hg 0.000 0.000 0.000
CELL_PARAMETERS angstrom
5.479 0.000 0.000
0.000 5.230 0.000
0.000 0.000 5.479
```



# 7
Density functional theory data (PBE) for an optimized crystal structure of Ca2SiHgIr. Values from VASP.

The electronic total energy is -4.154 eV/atom. As for the space-group type: P4/mmm (123).

```
&SYSTEM
  ibrav = 0, nat = 5, ntyp = 4
/
ATOMIC_SPECIES
Ca 40.08 Ca.upf
Ir 192.22 Ir.upf
Si 28.09 Si.upf
Hg 200.59 Hg.upf
ATOMIC_POSITIONS angstrom
Ca 0.000 2.783 0.000
Ca 2.783 0.000 0.000
Ir 0.000 0.000 0.000
Si 0.000 0.000 2.275
Hg 2.783 2.783 2.275
CELL_PARAMETERS angstrom
5.565 0.000 0.000
0.000 5.565 0.000
0.000 0.000 4.550
```



# 8
Density functional theory data (PBE) for an optimized crystal structure of CaSmHgIr. Values from VASP.

The electronic total energy is -4.415 eV/atom. The energy relative to the elements is -0.44 eV per atom. As for the space-group type: F-43m (216).

```
&SYSTEM
  ibrav = 0, nat = 4, ntyp = 4
/
ATOMIC_SPECIES
Ca 40.08 Ca.upf
Ir 192.22 Ir.upf
Hg 200.59 Hg.upf
Sm 150.36 Sm.upf
ATOMIC_POSITIONS angstrom
Ca -1.019 1.552 5.963
Ir -0.510 0.776 2.982
Hg -1.529 2.328 8.945
Sm 0.000 0.000 0.000
CELL_PARAMETERS angstrom
-3.577 1.120 3.458
0.587 -1.477 4.846
0.951 3.461 3.623
```



> Which value of electronic total energy does entry 5 give?

-2.398 eV/atom



> The highest electronic total energy belongs to which entry?

CaHg2IrRu